Entry 1:
# PBE ScZnRu2, optimized geometry
data_ScZnRu2
_chemical_formula_sum 'Sc1 Zn1 Ru2'
_cell_length_a 5.0333
_cell_length_b 5.0333
_cell_length_c 5.0333
_cell_angle_alpha 135.76
_cell_angle_beta 135.76
_cell_angle_gamma 64.35
_space_group_name_H-M_alt 'P 1'
_space_group_IT_number 1
loop_
_space_group_symop_operation_xyz
'x,y,z'
loop_
_atom_site_label
_atom_site_type_symbol
_atom_site_fract_x
_atom_site_fract_y
_atom_site_fract_z
Ru1 Ru 0.2500 0.7500 0.5000
Zn1 Zn 0.7500 0.2500 0.5000
Sc1 Sc 0.5000 0.5000 0.0000
Ru2 Ru 0.0000 0.0000 0.0000
# Energy relative to the elements, eV/atom: -0.147
# E_tot, eV per cell: -26.746
# N(E_F), states/eV per atom: 1.340


Entry 2:
# PBE Sc12Zn3Ru5, optimized geometry
data_Sc12Zn3Ru5
_chemical_formula_sum 'Sc48 Zn12 Ru20'
_cell_length_a 13.5372
_cell_length_b 13.5372
_cell_length_c 13.5372
_cell_angle_alpha 109.47
_cell_angle_beta 109.47
_cell_angle_gamma 109.47
_space_group_name_H-M_alt 'P 1'
_space_group_IT_number 1
loop_
_space_group_symop_operation_xyz
'x,y,z'
loop_
_atom_site_label
_atom_site_type_symbol
_atom_site_fract_x
_atom_site_fract_y
_atom_site_fract_z
Ru1 Ru 0.8750 0.6250 0.7500
Sc1 Sc 0.9157 0.0909 0.8799
Sc2 Sc 0.5843 0.6201 0.4091
Sc3 Sc 0.7890 0.4642 0.3799
Zn1 Zn 0.2500 0.1250 0.3750
Ru2 Ru 0.7500 0.1250 0.8750
Sc4 Sc 0.4642 0.7890 0.8799
Zn2 Zn 0.8750 0.7500 0.1250
Ru3 Ru 0.0000 0.0000 0.5000
Sc5 Sc 0.6201 0.0358 0.2110
Ru4 Ru 0.5000 0.0000 0.0000
Sc6 Sc 0.9157 0.8248 0.5358
Sc7 Sc 0.4157 0.0358 0.3248
Sc8 Sc 0.0843 0.9091 0.1201
Sc9 Sc 0.1752 0.0843 0.9642
Sc10 Sc 0.4091 0.2890 0.3248
Ru5 Ru 0.2500 0.3750 0.6250
Sc11 Sc 0.3799 0.9642 0.7890
Ru6 Ru 0.1250 0.3750 0.2500
Sc12 Sc 0.2110 0.6752 0.0909
Ru7 Ru 0.3750 0.2500 0.1250
Sc13 Sc 0.5358 0.3248 0.9157
Sc14 Sc 0.4091 0.1201 0.5843
Zn3 Zn 0.7500 0.3750 0.1250
Ru8 Ru 0.3750 0.1250 0.7500
Sc15 Sc 0.6752 0.2110 0.5909
Zn4 Zn 0.6250 0.3750 0.7500
Sc16 Sc 0.3799 0.4157 0.0909
Sc17 Sc 0.0358 0.6201 0.7110
Ru9 Ru 0.0000 0.5000 0.0000
Sc18 Sc 0.5909 0.8799 0.4157
Sc19 Sc 0.1201 0.7110 0.5358
Sc20 Sc 0.0358 0.4157 0.8248
Ru10 Ru 0.7500 0.6250 0.3750
Sc21 Sc 0.8248 0.9091 0.2890
Sc22 Sc 0.6752 0.4642 0.5843
Sc23 Sc 0.1752 0.0909 0.7110
Zn5 Zn 0.7500 0.8750 0.6250
Ru11 Ru 0.0000 0.5000 0.5000
Sc24 Sc 0.5358 0.2110 0.1201
Sc25 Sc 0.3248 0.5358 0.4157
Zn6 Zn 0.8750 0.1250 0.2500
Sc26 Sc 0.8799 0.5909 0.9157
Sc27 Sc 0.5909 0.7110 0.6752
Sc28 Sc 0.2890 0.4091 0.8248
Zn7 Zn 0.1250 0.8750 0.7500
Sc29 Sc 0.0843 0.1752 0.4642
Sc30 Sc 0.4642 0.6752 0.0843
Ru12 Ru 0.8750 0.2500 0.6250
Ru13 Ru 0.2500 0.8750 0.1250
Sc31 Sc 0.9091 0.8248 0.7890
Sc32 Sc 0.4157 0.3799 0.5909
Sc33 Sc 0.2890 0.8799 0.9642
Sc34 Sc 0.9642 0.5843 0.1752
Sc35 Sc 0.9642 0.3799 0.2890
Sc36 Sc 0.5843 0.9642 0.6752
Sc37 Sc 0.7890 0.3248 0.9091
Ru14 Ru 0.0000 0.0000 0.0000
Ru15 Ru 0.5000 0.5000 0.0000
Sc38 Sc 0.8248 0.9157 0.0358
Ru16 Ru 0.5000 0.5000 0.5000
Zn8 Zn 0.2500 0.6250 0.8750
Sc39 Sc 0.0909 0.1752 0.2110
Sc40 Sc 0.9091 0.0843 0.6201
Sc41 Sc 0.8799 0.2890 0.4642
Sc42 Sc 0.3248 0.7890 0.4091
Sc43 Sc 0.7110 0.1201 0.0358
Sc44 Sc 0.0909 0.9157 0.3799
Zn9 Zn 0.6250 0.2500 0.3750
Sc45 Sc 0.2110 0.5358 0.6201
Ru17 Ru 0.6250 0.7500 0.8750
Zn10 Zn 0.1250 0.2500 0.8750
Zn11 Zn 0.3750 0.7500 0.6250
Sc46 Sc 0.7110 0.5909 0.1752
Sc47 Sc 0.1201 0.4091 0.0843
Ru18 Ru 0.1250 0.7500 0.3750
Zn12 Zn 0.3750 0.6250 0.2500
Ru19 Ru 0.5000 0.0000 0.5000
Sc48 Sc 0.6201 0.5843 0.9091
Ru20 Ru 0.6250 0.8750 0.2500
# Energy relative to the elements, eV/atom: 0.169
# E_tot, eV per cell: -491.162
# N(E_F), states/eV per atom: 0.936


Entry 3:
# PBE Sc2ZnRu, optimized geometry
data_Sc2ZnRu
_chemical_formula_sum 'Sc2 Zn1 Ru1'
_cell_length_a 8.4210
_cell_length_b 8.4210
_cell_length_c 8.4210
_cell_angle_alpha 22.32
_cell_angle_beta 22.32
_cell_angle_gamma 22.32
_space_group_name_H-M_alt 'P 1'
_space_group_IT_number 1
loop_
_space_group_symop_operation_xyz
'x,y,z'
loop_
_atom_site_label
_atom_site_type_symbol
_atom_site_fract_x
_atom_site_fract_y
_atom_site_fract_z
Zn1 Zn 0.2500 0.2500 0.2500
Sc1 Sc 0.0071 0.0071 0.0071
Ru1 Ru 0.7500 0.7500 0.7500
Sc2 Sc 0.4929 0.4929 0.4929
# Energy relative to the elements, eV/atom: -0.238
# E_tot, eV per cell: -24.164
# N(E_F), states/eV per atom: 0.737


Entry 4:
# PBE Sc2Zn3Ru, optimized geometry
data_Sc2Zn3Ru
_chemical_formula_sum 'Sc2 Zn3 Ru1'
_cell_length_a 5.1150
_cell_length_b 5.1150
_cell_length_c 5.2849
_cell_angle_alpha 90.09
_cell_angle_beta 118.96
_cell_angle_gamma 119.87
_space_group_name_H-M_alt 'P 1'
_space_group_IT_number 1
loop_
_space_group_symop_operation_xyz
'x,y,z'
loop_
_atom_site_label
_atom_site_type_symbol
_atom_site_fract_x
_atom_site_fract_y
_atom_site_fract_z
Zn1 Zn 0.0000 0.0000 0.5000
Sc1 Sc 0.2537 0.6275 0.8812
Ru1 Ru 0.0000 0.0000 0.0000
Zn2 Zn 0.5000 0.5000 0.5000
Sc2 Sc 0.7463 0.3725 0.1188
Zn3 Zn 0.5000 0.0000 0.5000
# Energy relative to the elements, eV/atom: -0.419
# E_tot, eV per cell: -28.274
# N(E_F), states/eV per atom: 0.573


Entry 5:
# PBE ScZnRu2, optimized geometry
data_ScZnRu2
_chemical_formula_sum 'Sc1 Zn1 Ru2'
_cell_length_a 3.0559
_cell_length_b 4.7835
_cell_length_c 5.5917
_cell_angle_alpha 48.51
_cell_angle_beta 90.00
_cell_angle_gamma 90.00
_space_group_name_H-M_alt 'P 1'
_space_group_IT_number 1
loop_
_space_group_symop_operation_xyz
'x,y,z'
loop_
_atom_site_label
_atom_site_type_symbol
_atom_site_fract_x
_atom_site_fract_y
_atom_site_fract_z
Sc1 Sc 0.5000 0.5000 0.5000
Ru1 Ru 0.0000 0.0000 0.0000
Zn1 Zn 0.0000 0.0000 0.5000
Ru2 Ru 0.5000 0.5000 0.0000
# Energy relative to the elements, eV/atom: -0.160
# E_tot, eV per cell: -26.796
# N(E_F), states/eV per atom: 0.973


Entry 6:
# PBE Sc2ZnRu, optimized geometry
data_Sc2ZnRu
_chemical_formula_sum 'Sc2 Zn1 Ru1'
_cell_length_a 3.3034
_cell_length_b 3.3034
_cell_length_c 6.8642
_cell_angle_alpha 90.00
_cell_angle_beta 90.00
_cell_angle_gamma 90.00
_space_group_name_H-M_alt 'P 1'
_space_group_IT_number 1
loop_
_space_group_symop_operation_xyz
'x,y,z'
loop_
_atom_site_label
_atom_site_type_symbol
_atom_site_fract_x
_atom_site_fract_y
_atom_site_fract_z
Sc1 Sc 0.5000 0.5000 0.3072
Sc2 Sc 0.0000 0.0000 0.9405
Ru1 Ru 0.5000 0.5000 0.7182
Zn1 Zn 0.0000 0.0000 0.5341
# Energy relative to the elements, eV/atom: -0.255
# E_tot, eV per cell: -24.231
# N(E_F), states/eV per atom: 0.793


Entry 7:
# PBE Sc6Zn5Ru, optimized geometry
data_Sc6Zn5Ru
_chemical_formula_sum 'Sc6 Zn5 Ru1'
_cell_length_a 4.6927
_cell_length_b 6.6823
_cell_length_c 7.4070
_cell_angle_alpha 90.00
_cell_angle_beta 71.53
_cell_angle_gamma 90.00
_space_group_name_H-M_alt 'P 1'
_space_group_IT_number 1
loop_
_space_group_symop_operation_xyz
'x,y,z'
loop_
_atom_site_label
_atom_site_type_symbol
_atom_site_fract_x
_atom_site_fract_y
_atom_site_fract_z
Ru1 Ru 0.0000 0.0000 0.0000
Sc1 Sc 0.8383 0.2442 0.3239
Zn1 Zn 0.0000 0.5000 0.0000
Zn2 Zn 0.6691 0.0000 0.6613
Sc2 Sc 0.8383 0.7558 0.3239
Sc3 Sc 0.1617 0.2442 0.6761
Zn3 Zn 0.6680 0.5000 0.6633
Sc4 Sc 0.5000 0.2400 0.0000
Zn4 Zn 0.3309 0.0000 0.3387
Zn5 Zn 0.3320 0.5000 0.3367
Sc5 Sc 0.1617 0.7558 0.6761
Sc6 Sc 0.5000 0.7600 0.0000
# Energy relative to the elements, eV/atom: -0.435
# E_tot, eV per cell: -58.852
# N(E_F), states/eV per atom: 0.683


Entry 8:
# PBE Sc2ZnRu, optimized geometry
data_Sc2ZnRu
_chemical_formula_sum 'Sc2 Zn1 Ru1'
_cell_length_a 9.8113
_cell_length_b 9.8113
_cell_length_c 9.8113
_cell_angle_alpha 18.62
_cell_angle_beta 18.62
_cell_angle_gamma 18.62
_space_group_name_H-M_alt 'P 1'
_space_group_IT_number 1
loop_
_space_group_symop_operation_xyz
'x,y,z'
loop_
_atom_site_label
_atom_site_type_symbol
_atom_site_fract_x
_atom_site_fract_y
_atom_site_fract_z
Sc1 Sc 0.1005 0.1005 0.1005
Zn1 Zn 0.0000 0.0000 0.0000
Ru1 Ru 0.5000 0.5000 0.5000
Sc2 Sc 0.8995 0.8995 0.8995
# Energy relative to the elements, eV/atom: 0.038
# E_tot, eV per cell: -23.060
# N(E_F), states/eV per atom: 1.177


Entry 9:
# PBE ScZnRu2, optimized geometry
data_ScZnRu2
_chemical_formula_sum 'Sc1 Zn1 Ru2'
_cell_length_a 5.1336
_cell_length_b 5.1336
_cell_length_c 2.8157
_cell_angle_alpha 76.06
_cell_angle_beta 76.06
_cell_angle_gamma 113.36
_space_group_name_H-M_alt 'P 1'
_space_group_IT_number 1
loop_
_space_group_symop_operation_xyz
'x,y,z'
loop_
_atom_site_label
_atom_site_type_symbol
_atom_site_fract_x
_atom_site_fract_y
_atom_site_fract_z
Sc1 Sc 0.5000 0.0000 0.5000
Ru1 Ru 0.0000 0.0000 0.0000
Ru2 Ru 0.5000 0.5000 0.0000
Zn1 Zn 0.0000 0.5000 0.5000
# Energy relative to the elements, eV/atom: -0.127
# E_tot, eV per cell: -26.664
# N(E_F), states/eV per atom: 0.849


Entry 10:
# PBE Sc3ZnRu, optimized geometry
data_Sc3ZnRu
_chemical_formula_sum 'Sc3 Zn1 Ru1'
_cell_length_a 4.8655
_cell_length_b 4.8655
_cell_length_c 4.8655
_cell_angle_alpha 90.00
_cell_angle_beta 90.00
_cell_angle_gamma 90.00
_space_group_name_H-M_alt 'P 1'
_space_group_IT_number 1
loop_
_space_group_symop_operation_xyz
'x,y,z'
loop_
_atom_site_label
_atom_site_type_symbol
_atom_site_fract_x
_atom_site_fract_y
_atom_site_fract_z
Sc1 Sc 0.0000 0.0000 0.5000
Sc2 Sc 0.0000 0.5000 0.0000
Sc3 Sc 0.5000 0.0000 0.0000
Ru1 Ru 0.5000 0.5000 0.5000
Zn1 Zn 0.0000 0.0000 0.0000
# Energy relative to the elements, eV/atom: 0.643
# E_tot, eV per cell: -26.329
# E above lowest polymorph, meV/atom: 652.6
# N(E_F), states/eV per atom: 0.960


Entry 11:
# PBE ScZnRu2, optimized geometry
data_ScZnRu2
_chemical_formula_sum 'Sc1 Zn1 Ru2'
_cell_length_a 4.3297
_cell_length_b 2.8156
_cell_length_c 5.0801
_cell_angle_alpha 84.78
_cell_angle_beta 90.00
_cell_angle_gamma 90.00
_space_group_name_H-M_alt 'P 1'
_space_group_IT_number 1
loop_
_space_group_symop_operation_xyz
'x,y,z'
loop_
_atom_site_label
_atom_site_type_symbol
_atom_site_fract_x
_atom_site_fract_y
_atom_site_fract_z
Sc1 Sc 0.5000 0.2500 0.2500
Zn1 Zn 0.5000 0.7500 0.7500
Ru1 Ru 0.0000 0.9773 0.9849
Ru2 Ru 0.0000 0.5227 0.5151
# Energy relative to the elements, eV/atom: -0.102
# E_tot, eV per cell: -26.567
# N(E_F), states/eV per atom: 0.866


Entry 12:
# PBE ScZn4Ru, optimized geometry
data_ScZn4Ru
_chemical_formula_sum 'Sc1 Zn4 Ru1'
_cell_length_a 5.0085
_cell_length_b 5.0085
_cell_length_c 5.0085
_cell_angle_alpha 60.00
_cell_angle_beta 60.00
_cell_angle_gamma 60.00
_space_group_name_H-M_alt 'P 1'
_space_group_IT_number 1
loop_
_space_group_symop_operation_xyz
'x,y,z'
loop_
_atom_site_label
_atom_site_type_symbol
_atom_site_fract_x
_atom_site_fract_y
_atom_site_fract_z
Zn1 Zn 0.8722 0.3759 0.3759
Zn2 Zn 0.3759 0.3759 0.8722
Zn3 Zn 0.3759 0.3759 0.3759
Ru1 Ru 0.7500 0.7500 0.7500
Sc1 Sc 0.0000 0.0000 0.0000
Zn4 Zn 0.3759 0.8722 0.3759
# Energy relative to the elements, eV/atom: -0.303
# E_tot, eV per cell: -22.521
# N(E_F), states/eV per atom: 0.593